Below is a relaxed K2Ac2NbO6 crystal, with properties calculated at the GGA-PBE level.

Results
Spin magnetization: 0.860 μB/cell
Calculated total energy: -7.0583 eV per atom
V: 224 Å³/f.u.
ΔE_f (raw): -2492 meV/atom

abc: 6.306 6.306 6.627
angles: 96.51 96.51 119.23
Positions (direct):
1 O 0.966 0.672 0.336
2 O 0.238 0.238 0.323
3 O 0.762 0.762 0.677
4 O 0.672 0.966 0.336
5 O 0.034 0.328 0.664
6 O 0.328 0.034 0.664
7 Ac 0.337 0.663 0.500
8 Ac 0.663 0.337 0.500
9 Nb 0.000 0.000 0.500
10 K 0.144 0.856 0.000
11 K 0.856 0.144 0.000